No. 1
# Li5Pt2

Li5Pt2 after structural relaxation (PBE, OQMD via LeMat-Bulk).

Values from the calculation:
Crystal system ... trigonal
Magnetization ... 0.00 μB/atom
Space-group type ... R-3m, No. 166
Electronic total energy ... -24.89 eV/cell

Cell: 6.660 6.660 6.660 Å, 36.78 36.78 36.78°
Positions (direct):
Li1 0.000 0.000 0.000
Li2 0.146 0.146 0.146
Li3 0.287 0.287 0.287
Li4 0.713 0.713 0.713
Li5 0.854 0.854 0.854
Pt1 0.428 0.428 0.428
Pt2 0.572 0.572 0.572


No. 2
# BaCd2PtAu

BaCd2PtAu after structural relaxation (PBE, OQMD via LeMat-Bulk).

Values from the calculation:
Crystal system ... tetragonal
Magnetization ... 0.00 μB/atom
Space-group type ... I4mm, No. 107
Electronic total energy ... -15.73 eV/cell

Cell: 7.005 7.005 7.005 Å, 142.35 142.35 54.30°
Positions (direct):
Ba1 0.000 0.000 0.000
Cd1 0.241 0.741 0.500
Cd2 0.741 0.241 0.500
Pt1 0.607 0.607 0.000
Au1 0.389 0.389 0.000


No. 3
# BiIr

BiIr after structural relaxation (PBE, OQMD via LeMat-Bulk).

Values from the calculation:
Crystal system ... hexagonal
Magnetization ... 0.00 μB/atom
Space-group type ... P-6m2, No. 187
Electronic total energy ... -11.74 eV/cell

Cell: 3.695 3.695 3.691 Å, 90.00 90.00 120.00°
Positions (direct):
Bi1 0.000 0.000 0.000
Ir1 0.667 0.333 0.500


No. 4
# Nb4CdAsN2

Nb4CdAsN2 after structural relaxation (PBE, OQMD via LeMat-Bulk).

Values from the calculation:
Crystal system ... hexagonal
Magnetization ... 0.00 μB/atom
Space-group type ... P-6m2, No. 187
Electronic total energy ... -67.35 eV/cell

Cell: 3.252 3.252 13.163 Å, 90.00 90.00 120.00°
Positions (direct):
Nb1 0.000 0.000 0.144
Nb2 0.000 0.000 0.856
Nb3 0.667 0.333 0.316
Nb4 0.667 0.333 0.684
Cd1 0.000 0.000 0.500
As1 0.667 0.333 0.000
N1 0.333 0.667 0.237
N2 0.333 0.667 0.763


No. 5
# CuAgPdPb

CuAgPdPb after structural relaxation (PBE, OQMD via LeMat-Bulk).

Values from the calculation:
Crystal system ... cubic
E above lowest polymorph ... 0 meV per atom
Space-group type ... F-43m, No. 216
Electronic total energy ... -15.40 eV/cell

Cell: 4.669 4.669 4.669 Å, 60.00 60.00 60.00°
Positions (direct):
Cu1 0.000 0.000 0.000
Ag1 0.250 0.250 0.250
Pd1 0.500 0.500 0.500
Pb1 0.750 0.750 0.750


No. 6
# ZrPd3

ZrPd3 after structural relaxation (PBE, OQMD via LeMat-Bulk).

Values from the calculation:
Crystal system ... cubic
Magnetization ... 0.00 μB/atom
Space-group type ... Pm-3m, No. 221
E_form ... -308 kJ/mol of formula units
Electronic total energy ... -27.26 eV/cell

Cell: 4.023 4.023 4.023 Å, 90.00 90.00 90.00°
Positions (direct):
Zr1 0.000 0.000 0.000
Pd1 0.000 0.500 0.500
Pd2 0.500 0.000 0.500
Pd3 0.500 0.500 0.000


No. 7
# PuZnPt

PuZnPt after structural relaxation (PBE, OQMD via LeMat-Bulk).

Values from the calculation:
Crystal system ... cubic
Magnetization ... 1.88 μB/atom
Space-group type ... F-43m, No. 216
E_form ... -12 kJ/mol of formula units
Electronic total energy ... -21.57 eV/cell

Cell: 4.695 4.695 4.695 Å, 60.00 60.00 60.00°
Positions (direct):
Pu1 0.000 0.000 0.000
Zn1 0.750 0.750 0.750
Pt1 0.250 0.250 0.250


No. 8
# AcTmNO

AcTmNO after structural relaxation (PBE, OQMD via LeMat-Bulk).

Values from the calculation:
Crystal system ... tetragonal
Magnetization ... 0.00 μB/atom
E above lowest polymorph ... 0 meV per atom
Space-group type ... P4/nmm, No. 129
Electronic total energy ... -60.26 eV/cell

Cell: 4.447 4.447 8.902 Å, 90.00 90.00 90.00°
Positions (direct):
Ac1 0.250 0.250 0.129
Ac2 0.750 0.750 0.871
Tm1 0.250 0.750 0.500
Tm2 0.750 0.250 0.500
N1 0.250 0.250 0.434
N2 0.750 0.750 0.566
O1 0.250 0.750 0.000
O2 0.750 0.250 0.000


No. 9
# YGa2Pd2

YGa2Pd2 after structural relaxation (PBE, OQMD via LeMat-Bulk).

Values from the calculation:
Crystal system ... tetragonal
Magnetization ... 0.00 μB/atom
Space-group type ... I4/mmm, No. 139
Electronic total energy ... -26.78 eV/cell

Cell: 6.093 6.093 6.093 Å, 139.86 139.86 58.06°
Positions (direct):
Y1 0.000 0.000 0.000
Ga1 0.382 0.382 0.000
Ga2 0.618 0.618 0.000
Pd1 0.250 0.750 0.500
Pd2 0.750 0.250 0.500


No. 10
# Nb2PdSe2S4

Nb2PdSe2S4 after structural relaxation (PBE, OQMD via LeMat-Bulk).

Values from the calculation:
Crystal system ... monoclinic
Magnetization ... 0.00 μB/atom
E above lowest polymorph ... 10 meV per atom
Space-group type ... C2/m, No. 12
Electronic total energy ... -55.73 eV/cell

Cell: 6.778 6.778 10.606 Å, 118.43 118.43 28.23°
Positions (direct):
Nb1 0.174 0.174 0.284
Nb2 0.826 0.826 0.716
Pd1 0.500 0.500 0.000
Se1 0.160 0.160 0.534
Se2 0.840 0.840 0.466
S1 0.295 0.295 0.869
S2 0.484 0.484 0.768
S3 0.516 0.516 0.232
S4 0.705 0.705 0.131


No. 11
# BaPmCd

BaPmCd after structural relaxation (PBE, OQMD via LeMat-Bulk).

Values from the calculation:
Crystal system ... cubic
Magnetization ... 0.18 μB/atom
Space-group type ... F-43m, No. 216
Electronic total energy ... -7.14 eV/cell

Cell: 5.572 5.572 5.572 Å, 60.00 60.00 60.00°
Positions (direct):
Ba1 0.000 0.000 0.000
Pm1 0.500 0.500 0.500
Cd1 0.250 0.250 0.250


No. 12
# DyNpPt

DyNpPt after structural relaxation (PBE, OQMD via LeMat-Bulk).

Values from the calculation:
Crystal system ... cubic
Magnetization ... 1.68 μB/atom
E above lowest polymorph ... 0 meV per atom
Space-group type ... F-43m, No. 216
E_form ... -99 kJ/mol of formula units
Electronic total energy ... -24.45 eV/cell

Cell: 4.854 4.854 4.854 Å, 60.00 60.00 60.00°
Positions (direct):
Dy1 0.000 0.000 0.000
Np1 0.500 0.500 0.500
Pt1 0.250 0.250 0.250